Entry 1:
Computed, not measured: a relaxed structure of CeDy2VN4 at the PBE level of DFT.

Computed properties:
crystal system = orthorhombic
calculated density = 8.2 Mg/m³
uncorrected formation energy = -1.365 eV/atom
calculated volume = 231.62 Å³/cell
M_tot = 0.670 μB/f.u.
SG = Cmcm (63)

```
CeDy2VN4
1.0
-3.3437 -0.3524 -0.3094
1.2361 -0.7322 5.8984
-1.3771 11.5552 1.7230
V N Ce Dy
2 8 2 4
direct
0.1729 0.3458 0.2500
0.8271 0.6542 0.7500
0.4265 0.8531 0.7500
0.5735 0.1469 0.2500
0.0000 0.0000 0.0000
0.7339 0.4679 0.8732
0.2661 0.5321 0.3732
0.2661 0.5321 0.1268
0.0000 0.0000 0.5000
0.7339 0.4679 0.6268
0.9117 0.8234 0.2500
0.0883 0.1766 0.7500
0.3702 0.7404 0.9575
0.6298 0.2596 0.4575
0.3702 0.7404 0.5425
0.6298 0.2596 0.0425
```

Entry 2:
Computed, not measured: a relaxed structure of BeRuBr at the PBE level of DFT.

Computed properties:
crystal system = cubic
calculated density = 6.5 Mg/m³
uncorrected formation energy = 0.818 eV/atom
energy relative to the lowest polymorph listed for this composition = 327 meV per atom
calculated volume = 48.88 Å³/cell
M_tot = 0.000 μB/f.u.
SG = F-43m (216)

```
BeRuBr
1.0
-1.1797 3.7202 -1.2693
-2.0868 0.4041 -3.5106
-3.9713 1.0319 0.0806
Br Ru Be
1 1 1
direct
0.5000 0.5000 0.5000
0.7500 0.7500 0.7500
0.0000 0.0000 0.0000
```

Entry 3:
Computed, not measured: a relaxed structure of MgNiSb at the PBE level of DFT.

Computed properties:
crystal system = hexagonal
calculated density = 5.9 Mg/m³
uncorrected formation energy = -0.184 eV/atom
calculated volume = 57.65 Å³/cell
M_tot = 0.000 μB/f.u.
SG = P-6m2 (187)

```
MgNiSb
1.0
-0.7284 -4.1946 -0.5423
3.0829 1.9523 -2.2591
2.3868 -0.7516 2.6076
Mg Ni Sb
1 1 1
direct
0.0000 0.0000 0.9995
0.3333 0.6667 0.5008
0.6667 0.3333 0.4997
```

Entry 4:
Computed, not measured: a relaxed structure of Sr2Ir2N3 at the PBE level of DFT.

Computed properties:
crystal system = trigonal
calculated density = 7.2 Mg/m³
uncorrected formation energy = 0.018 eV/atom
calculated volume = 139.19 Å³/cell
M_tot = 0.000 μB/f.u.
SG = R-3m (166)

```
Sr2Ir2N3
1.0
5.0111 -0.1258 2.5684
1.5149 4.7783 2.5684
-0.1764 -0.1258 5.6282
Sr N Ir
2 3 2
direct
0.5000 0.5000 0.5000
0.0000 0.0000 0.0000
0.0000 0.0000 0.5000
0.5000 0.0000 0.0000
0.0000 0.5000 0.0000
0.7781 0.7781 0.7781
0.2219 0.2219 0.2219
```

Entry 5:
Computed, not measured: a relaxed structure of KHg2TeI at the PBE level of DFT.

Computed properties:
crystal system = tetragonal
calculated density = 5.0 Mg/m³
uncorrected formation energy = -0.493 eV/atom
calculated volume = 228.80 Å³/cell
M_tot = 0.000 μB/f.u.
SG = P4/mmm (123)

```
KHg2TeI
1.0
5.7156 0.0000 0.0000
0.0000 7.0038 0.0000
0.0000 0.0000 5.7156
I K Hg Te
1 1 2 1
direct
0.5000 0.5000 0.5000
0.0000 0.5000 0.0000
0.0000 0.0000 0.5000
0.5000 0.0000 0.0000
0.0000 0.0000 0.0000
```

Entry 6:
Computed, not measured: a relaxed structure of Tb3Pr2Er6Sc at the PBE level of DFT.

Computed properties:
crystal system = monoclinic
calculated density = 8.0 Mg/m³
ΔE_f = 0.03 eV per atom
calculated volume = 373.82 Å³/cell
M_tot = 0.000 μB/f.u.
SG = C2/m (12)

```
Tb3Pr2Er6Sc
1.0
6.1162 -0.0001 0.0045
-3.0567 5.2976 0.0045
-1.0256 -1.7758 11.5344
Er Tb Sc Pr
6 3 1 2
direct
0.9167 0.5866 0.7495
0.2468 0.2468 0.7489
0.4134 0.0833 0.2505
0.7532 0.7532 0.2511
0.5866 0.9167 0.7495
0.0833 0.4134 0.2505
0.5000 0.5000 0.5000
0.8336 0.1664 0.5000
0.1664 0.8336 0.5000
0.0000 0.0000 0.0000
0.3337 0.6663 0.0000
0.6663 0.3337 0.0000
```

Entry 7:
Computed, not measured: a relaxed structure of Th4Zn at the PBE level of DFT.

Computed properties:
crystal system = cubic
calculated density = 9.7 Mg/m³
ΔE_f = 0.47 eV per atom
calculated volume = 170.05 Å³/cell
M_tot = 0.000 μB/f.u.
SG = Pm-3m (221)

```
Th4Zn
1.0
-5.1610 1.0108 -1.7425
0.3230 -4.3151 -3.4597
-1.9884 -3.3245 3.9609
Th Zn
4 1
direct
0.0000 0.0000 0.0000
0.0000 0.5000 0.5000
0.5000 0.0000 0.5000
0.5000 0.5000 0.0000
0.5000 0.5000 0.5000
```

Entry 8:
Computed, not measured: a relaxed structure of LaTlAsBr2 at the PBE level of DFT.

Computed properties:
crystal system = tetragonal
calculated density = 5.7 Mg/m³
uncorrected formation energy = -0.337 eV/atom
energy relative to the lowest polymorph listed for this composition = 551 meV per atom
calculated volume = 169.56 Å³/cell
M_tot = 0.211 μB/f.u.
SG = P4/mmm (123)

```
LaTlAsBr2
1.0
5.5644 0.0000 0.0000
0.0000 5.5644 0.0000
0.0000 0.0000 5.4765
Br As La Tl
2 1 1 1
direct
0.0000 0.5000 0.0000
0.5000 0.0000 0.0000
0.0000 0.0000 0.5000
0.5000 0.5000 0.5000
0.0000 0.0000 0.0000
```

Entry 9:
Computed, not measured: a relaxed structure of In7Ga3Hg at the PBE level of DFT.

Computed properties:
crystal system = monoclinic
calculated density = 6.5 Mg/m³
ΔE_f = 0.10 eV per atom
calculated volume = 308.51 Å³/cell
M_tot = 0.000 μB/f.u.
SG = C2/m (12)

```
In7Ga3Hg
1.0
6.9465 0.8293 -2.3972
-3.2645 6.0822 -0.5478
0.0741 -0.3036 6.9175
In Ga Hg
7 3 1
direct
0.7563 0.8620 0.8620
0.7328 0.9114 0.3822
0.0000 0.5000 0.5000
0.7328 0.3822 0.9114
0.2672 0.0886 0.6178
0.2672 0.6178 0.0886
0.2437 0.1380 0.1380
0.5000 0.0000 0.0000
0.0000 0.2320 0.7680
0.0000 0.7680 0.2320
0.5000 0.5000 0.5000
```

Entry 10:
Computed, not measured: a relaxed structure of YbIn2 at the PBE level of DFT.

Computed properties:
crystal system = monoclinic
calculated density = 8.2 Mg/m³
ΔE_f = -0.42 eV per atom
calculated volume = 162.41 Å³/cell
M_tot = 0.000 μB/f.u.
SG = C2/m (12)

```
YbIn2
1.0
4.9538 0.0067 0.0056
2.4847 5.7577 -0.1135
2.4847 0.9421 5.6813
In Yb
4 2
direct
0.8376 0.6210 0.7045
0.8376 0.2045 0.1210
0.1624 0.7955 0.8790
0.1624 0.3790 0.2955
0.4690 0.7802 0.2802
0.5310 0.2198 0.7198
```

Entry 11:
Computed, not measured: a relaxed structure of Tb2YSbN4 at the PBE level of DFT.

Computed properties:
crystal system = monoclinic
calculated density = 8.0 Mg/m³
uncorrected formation energy = -1.042 eV/atom
calculated volume = 121.62 Å³/cell
M_tot = 0.000 μB/f.u.
SG = P2/m (10)

```
Tb2YSbN4
1.0
-1.3238 -1.2207 2.9988
-3.9776 -3.3621 -3.1244
5.0602 -3.2170 0.9243
N Tb Y Sb
4 2 1 1
direct
0.0000 0.7442 0.2549
0.5000 0.7383 0.7387
0.5000 0.2617 0.2613
0.0000 0.2558 0.7451
0.5000 0.0000 0.5000
0.0000 0.5000 0.5000
0.5000 0.5000 0.0000
0.0000 0.0000 0.0000
```

Entry 12:
Computed, not measured: a relaxed structure of Sr2Pt2Au at the PBE level of DFT.

Computed properties:
crystal system = tetragonal
calculated density = 10.3 Mg/m³
ΔE_f = -0.69 eV per atom
energy relative to the lowest polymorph listed for this composition = 123 meV per atom
calculated volume = 244.88 Å³/cell
M_tot = 0.000 μB/f.u.
SG = P4/mbm (127)

```
Sr2Pt2Au
1.0
-5.4601 -4.3779 2.6810
5.0322 -3.7906 4.0589
-0.5905 2.7676 3.3168
Au Sr Pt
2 4 4
direct
0.5000 0.5000 0.0000
0.0000 0.0000 0.0000
0.6755 0.8245 0.5000
0.8245 0.3245 0.5000
0.1755 0.6755 0.5000
0.3245 0.1755 0.5000
0.8723 0.6277 0.0000
0.3723 0.8723 0.0000
0.6277 0.1277 0.0000
0.1277 0.3723 0.0000
```